Here is BeCrGe3 after structural relaxation from the Alexandria database. Energies are from PBE-GGA.

POSCAR file:
```
BeCrGe3
1.0
4.411 0.000 0.000
0.000 4.411 0.000
0.000 0.000 4.411
Cr Ge Be
1 3 1
Direct
0.500 0.500 0.500 Cr
0.000 0.500 0.000 Ge
0.000 0.000 0.500 Ge
0.500 0.000 0.000 Ge
0.000 0.000 0.000 Be
```

For the energy above the most stable polymorph in this dataset, the calculation gives 0.3648 eV/atom. For the total energy, the calculation gives -22.04 eV per cell. The calculation puts the density of states at the Fermi level at 6.41 states/eV/cell. Its energy relative to the elements is 1033 meV/atom.

***

Here is Be2CrGe after structural relaxation from the Alexandria database. Energies are from PBE-GGA.

POSCAR file:
```
Be2CrGe
1.0
6.336 0.000 0.000
0.000 6.336 0.000
3.168 3.168 2.351
Cr Ge Be
2 2 4
Direct
0.500 0.500 0.000 Cr
0.250 0.750 0.500 Cr
0.000 0.000 0.000 Ge
0.750 0.250 0.500 Ge
0.629 0.125 0.250 Be
0.121 0.625 0.250 Be
0.375 0.371 0.750 Be
0.875 0.879 0.750 Be
```

For the total energy, the calculation gives -39.28 eV per cell. The calculation puts the density of states at the Fermi level at 0.03 states/eV/cell. Its energy relative to the elements is 513 meV/atom.

***

Here is Be2CrGe2 after structural relaxation from the Alexandria database. Energies are from PBE-GGA.

POSCAR file:
```
Be2CrGe2
1.0
-1.125 -2.290 -2.513
-0.073 -2.630 2.429
-5.560 -1.272 1.096
Cr Ge Be
1 2 2
Direct
0.000 0.000 0.000 Cr
0.750 0.250 0.500 Ge
0.250 0.750 0.500 Ge
0.407 0.407 0.186 Be
0.593 0.593 0.814 Be
```

For the energy above the most stable polymorph in this dataset, the calculation gives 0.3912 eV/atom. For the total energy, the calculation gives -22.52 eV per cell. The calculation puts the density of states at the Fermi level at 5.72 states/eV/cell. Its energy relative to the elements is 757 meV/atom.

***

Here is Be2CrGe after structural relaxation from the Alexandria database. Energies are from PBE-GGA.

POSCAR file:
```
Be2CrGe
1.0
3.443 0.000 0.000
0.000 3.554 0.000
0.000 0.000 3.554
Cr Ge Be
1 1 2
Direct
0.500 0.000 0.000 Cr
0.500 0.500 0.500 Ge
0.000 0.000 0.500 Be
0.000 0.500 0.000 Be
```

For the total energy, the calculation gives -21.56 eV per cell. The calculation puts the density of states at the Fermi level at 2.13 states/eV/cell. Its energy relative to the elements is 34 meV/atom.

***

Here is BeCr3Ge after structural relaxation from the Alexandria database. Energies are from PBE-GGA.

POSCAR file:
```
BeCr3Ge
1.0
-0.216 4.029 -0.606
-2.510 -0.609 -3.159
-3.210 0.205 2.511
Cr Ge Be
3 1 1
Direct
0.000 0.500 0.000 Cr
0.000 0.000 0.500 Cr
0.500 0.000 0.000 Cr
0.500 0.500 0.500 Ge
0.000 0.000 0.000 Be
```

For the energy above the most stable polymorph in this dataset, the calculation gives 0.0000 eV/atom. For the total energy, the calculation gives -33.78 eV per cell. The calculation puts the density of states at the Fermi level at 4.18 states/eV/cell. Its energy relative to the elements is 686 meV/atom.

***

Here is Be2Cr2Ge after structural relaxation from the Alexandria database. Energies are from PBE-GGA.

POSCAR file:
```
Be2Cr2Ge
1.0
5.775 0.000 0.000
0.000 5.775 0.000
0.000 0.000 3.157
Cr Ge Be
4 2 4
Direct
0.175 0.675 0.500 Cr
0.675 0.825 0.500 Cr
0.825 0.325 0.500 Cr
0.325 0.175 0.500 Cr
0.000 0.000 0.000 Ge
0.500 0.500 0.000 Ge
0.380 0.880 0.000 Be
0.880 0.620 0.000 Be
0.620 0.120 0.000 Be
0.120 0.380 0.000 Be
```

For the total energy, the calculation gives -62.53 eV per cell. The calculation puts the density of states at the Fermi level at 4.64 states/eV/cell. Its energy relative to the elements is 11 meV/atom.

***

Question: What is the energy relative to the elements in the fifth record?
Answer: 686 meV/atom

***

Question: Among the records above, which one has the lowest energy relative to the elements?
Answer: Be2Cr2Ge

***

Question: The lowest energy relative to the elements belongs to which entry?
Answer: Be2Cr2Ge

***

Question: What is the energy relative to the elements in the first record?
Answer: 1033 meV/atom